# NaCo2H3S2O10, relaxed, DFT GGA+U
data_NaCo2H3S2O10
_cell_length_a 11.1752
_cell_length_b 6.2342
_cell_length_c 7.1141
_cell_angle_alpha 90.00
_cell_angle_beta 109.13
_cell_angle_gamma 90.00
_space_group_name_H-M_alt 'C 1 m 1'
_space_group_IT_number 8
loop_
_space_group_symop_operation_xyz
'x,y,z'
'x,-y,z'
'x+1/2,y+1/2,z'
'x+1/2,-y+1/2,z'
loop_
_atom_site_label
_atom_site_fract_x
_atom_site_fract_y
_atom_site_fract_z
Na1 0.0000 0.0000 0.0000
Co1 0.2607 0.2622 0.4898
H1 0.0270 0.0000 0.5109
H2 0.2333 0.0000 0.8374
H3 0.2694 0.5000 0.1488
S1 0.0581 0.5000 0.2597
S2 0.4445 0.0000 0.7311
O1 0.1209 0.2995 0.2015
O2 0.1248 0.0000 0.5693
O3 0.1330 0.5000 0.4956
O4 0.1398 0.0000 0.7830
O5 0.3623 0.5000 0.2113
O6 0.3710 0.0000 0.4940
O7 0.3734 0.5000 0.4246
O8 0.3805 0.2004 0.7866
# Total magnetic moment ... 5.983 μB per formula unit
# Relative energy among the computed polymorphs ... 337.4 meV/atom